<A>
# BeIrCl, optimized geometry, DFT GGA-PBE
# Crystal system ... orthorhombic
# Spin magnetization ... 0.00 Bohr magnetons per cell
data_BeIrCl
_chemical_formula_sum 'Be4 Ir4 Cl4'
_cell_length_a 5.438
_cell_length_b 2.929
_cell_length_c 11.047
_cell_angle_alpha 90.00
_cell_angle_beta 90.00
_cell_angle_gamma 90.00
_space_group_name_H-M_alt 'P n m a'
_space_group_IT_number 62
loop_
_space_group_symop_operation_xyz
'x,y,z'
'-x,-y,-z'
'-x+1/2,-y,z+1/2'
'x+1/2,y,-z+1/2'
'x+1/2,-y+1/2,-z+1/2'
'-x+1/2,y+1/2,z+1/2'
'-x,y+1/2,-z'
'x,-y+1/2,z'
loop_
_atom_site_label
_atom_site_fract_x
_atom_site_fract_y
_atom_site_fract_z
_atom_site_occupancy
Be1 0.119 0.250 0.045 1
Ir1 0.146 0.250 0.429 1
Cl1 0.226 0.750 0.713 1

---

<B>
# BeIrCl, optimized geometry, DFT GGA-PBE
# Crystal system ... triclinic
# Spin magnetization ... 0.00 Bohr magnetons per cell
data_BeIrCl
_chemical_formula_sum 'Be2 Ir2 Cl2'
_cell_length_a 2.914
_cell_length_b 2.960
_cell_length_c 12.000
_cell_angle_alpha 89.99
_cell_angle_beta 89.89
_cell_angle_gamma 90.00
_space_group_name_H-M_alt 'P 1'
_space_group_IT_number 1
loop_
_space_group_symop_operation_xyz
'x,y,z'
loop_
_atom_site_label
_atom_site_fract_x
_atom_site_fract_y
_atom_site_fract_z
_atom_site_occupancy
Be1 0.000 0.000 0.000 1
Be2 0.497 0.504 0.456 1
Ir1 0.500 0.008 0.161 1
Ir2 0.999 0.509 0.295 1
Cl1 0.002 0.501 0.890 1
Cl2 0.497 0.005 0.565 1

---

<C>
# BeIrCl, optimized geometry, DFT GGA-PBE
# Crystal system ... cubic
# Spin magnetization ... 0.00 Bohr magnetons per cell
data_BeIrCl
_chemical_formula_sum 'Be4 Ir4 Cl4'
_cell_length_a 5.693
_cell_length_b 5.693
_cell_length_c 5.693
_cell_angle_alpha 90.00
_cell_angle_beta 90.00
_cell_angle_gamma 90.00
_space_group_name_H-M_alt 'F -4 3 m'
_space_group_IT_number 216
_space_group_name_Hall 'F -4 2 3'
loop_
_atom_site_label
_atom_site_fract_x
_atom_site_fract_y
_atom_site_fract_z
_atom_site_occupancy
Be1 0.000 0.000 0.000 1
Ir1 0.250 0.250 0.250 1
Cl1 0.000 0.000 0.500 1

---

<D>
# BeIrCl, optimized geometry, DFT GGA-PBE
# Crystal system ... tetragonal
# Spin magnetization ... 0.36 Bohr magnetons per cell
data_BeIrCl
_chemical_formula_sum 'Be2 Ir2 Cl2'
_cell_length_a 3.215
_cell_length_b 3.215
_cell_length_c 11.125
_cell_angle_alpha 90.00
_cell_angle_beta 90.00
_cell_angle_gamma 90.00
_space_group_name_H-M_alt 'P 4/n m m'
_space_group_IT_number 129
loop_
_space_group_symop_operation_xyz
'x,y,z'
'-x,-y,-z'
'-y+1/2,x,z'
'y+1/2,-x,-z'
'-x+1/2,-y+1/2,z'
'x+1/2,y+1/2,-z'
'y,-x+1/2,z'
'-y,x+1/2,-z'
'x+1/2,-y,-z'
'-x+1/2,y,z'
'-y,-x,-z'
'y,x,z'
'-x,y+1/2,-z'
'x,-y+1/2,z'
'y+1/2,x+1/2,-z'
'-y+1/2,-x+1/2,z'
loop_
_atom_site_label
_atom_site_fract_x
_atom_site_fract_y
_atom_site_fract_z
_atom_site_occupancy
Be1 0.250 0.250 0.056 1
Ir1 0.250 0.250 0.858 1
Cl1 0.250 0.750 0.500 1

---

Which one sits at the top of the stability order? <B> does.

---

<A>
# BeIrCl, optimized geometry, DFT GGA-PBE
# Crystal system ... triclinic
# Spin magnetization ... 0.00 Bohr magnetons per cell
data_BeIrCl
_chemical_formula_sum 'Be2 Ir2 Cl2'
_cell_length_a 2.914
_cell_length_b 4.644
_cell_length_c 8.915
_cell_angle_alpha 75.24
_cell_angle_beta 88.63
_cell_angle_gamma 71.73
_space_group_name_H-M_alt 'P -1'
_space_group_IT_number 2
loop_
_space_group_symop_operation_xyz
'x,y,z'
'-x,-y,-z'
loop_
_atom_site_label
_atom_site_fract_x
_atom_site_fract_y
_atom_site_fract_z
_atom_site_occupancy
Be1 0.052 0.414 0.378 1
Ir1 0.325 0.860 0.419 1
Cl1 0.453 0.637 0.199 1

---

<B>
# BeIrCl, optimized geometry, DFT GGA-PBE
# Crystal system ... orthorhombic
# Spin magnetization ... 0.00 Bohr magnetons per cell
data_BeIrCl
_chemical_formula_sum 'Be4 Ir4 Cl4'
_cell_length_a 8.750
_cell_length_b 3.613
_cell_length_c 8.072
_cell_angle_alpha 90.00
_cell_angle_beta 90.00
_cell_angle_gamma 90.00
_space_group_name_H-M_alt 'P n m a'
_space_group_IT_number 62
loop_
_space_group_symop_operation_xyz
'x,y,z'
'-x,-y,-z'
'-x+1/2,-y,z+1/2'
'x+1/2,y,-z+1/2'
'x+1/2,-y+1/2,-z+1/2'
'-x+1/2,y+1/2,z+1/2'
'-x,y+1/2,-z'
'x,-y+1/2,z'
loop_
_atom_site_label
_atom_site_fract_x
_atom_site_fract_y
_atom_site_fract_z
_atom_site_occupancy
Be1 0.059 0.250 0.006 1
Ir1 0.189 0.750 0.942 1
Cl1 0.213 0.250 0.707 1

---

<C>
# BeIrCl, optimized geometry, DFT GGA-PBE
# Crystal system ... tetragonal
# Spin magnetization ... 0.00 Bohr magnetons per cell
data_BeIrCl
_chemical_formula_sum 'Be2 Ir2 Cl2'
_cell_length_a 2.792
_cell_length_b 2.792
_cell_length_c 11.737
_cell_angle_alpha 90.00
_cell_angle_beta 90.00
_cell_angle_gamma 90.00
_space_group_name_H-M_alt 'I 4 m m'
_space_group_IT_number 107
_space_group_name_Hall 'I 4 -2'
loop_
_atom_site_label
_atom_site_fract_x
_atom_site_fract_y
_atom_site_fract_z
_atom_site_occupancy
Be1 0.000 0.000 0.000 1
Ir1 0.000 0.000 0.613 1
Cl1 0.000 0.000 0.825 1

---

<D>
# BeIrCl, optimized geometry, DFT GGA-PBE
# Crystal system ... tetragonal
# Spin magnetization ... 0.59 Bohr magnetons per cell
data_BeIrCl
_chemical_formula_sum 'Be2 Ir2 Cl2'
_cell_length_a 3.874
_cell_length_b 3.874
_cell_length_c 6.515
_cell_angle_alpha 90.00
_cell_angle_beta 90.00
_cell_angle_gamma 90.00
_space_group_name_H-M_alt 'P 4/n m m'
_space_group_IT_number 129
loop_
_space_group_symop_operation_xyz
'x,y,z'
'-x,-y,-z'
'-y+1/2,x,z'
'y+1/2,-x,-z'
'-x+1/2,-y+1/2,z'
'x+1/2,y+1/2,-z'
'y,-x+1/2,z'
'-y,x+1/2,-z'
'x+1/2,-y,-z'
'-x+1/2,y,z'
'-y,-x,-z'
'y,x,z'
'-x,y+1/2,-z'
'x,-y+1/2,z'
'y+1/2,x+1/2,-z'
'-y+1/2,-x+1/2,z'
loop_
_atom_site_label
_atom_site_fract_x
_atom_site_fract_y
_atom_site_fract_z
_atom_site_occupancy
Be1 0.250 0.250 0.178 1
Ir1 0.250 0.250 0.505 1
Cl1 0.250 0.750 0.000 1

---

Which one sits at the top of the stability order? <A> does.

---

<A>
# BeIrCl, optimized geometry, DFT GGA-PBE
# Crystal system ... hexagonal
# Spin magnetization ... 0.00 Bohr magnetons per cell
data_BeIrCl
_chemical_formula_sum 'Be1 Ir1 Cl1'
_cell_length_a 4.1203
_cell_length_b 4.1203
_cell_length_c 2.8526
_cell_angle_alpha 90.00
_cell_angle_beta 90.00
_cell_angle_gamma 120.00
_space_group_name_H-M_alt 'P -6 m 2'
_space_group_IT_number 187
_space_group_name_Hall 'P -6 2'
loop_
_atom_site_label
_atom_site_fract_x
_atom_site_fract_y
_atom_site_fract_z
_atom_site_occupancy
Be1 0.0000 0.0000 0.0000 1
Ir1 0.3333 0.6667 0.5000 1
Cl1 0.6667 0.3333 0.5000 1

---

<B>
# BeIrCl, optimized geometry, DFT GGA-PBE
# Crystal system ... triclinic
# Spin magnetization ... 0.00 Bohr magnetons per cell
data_BeIrCl
_chemical_formula_sum 'Be2 Ir2 Cl2'
_cell_length_a 2.880
_cell_length_b 5.253
_cell_length_c 6.925
_cell_angle_alpha 102.35
_cell_angle_beta 90.06
_cell_angle_gamma 105.89
_space_group_name_H-M_alt 'P 1'
_space_group_IT_number 1
loop_
_space_group_symop_operation_xyz
'x,y,z'
loop_
_atom_site_label
_atom_site_fract_x
_atom_site_fract_y
_atom_site_fract_z
_atom_site_occupancy
Be1 0.000 0.000 0.000 1
Be2 0.065 0.132 0.573 1
Ir1 0.350 0.700 0.794 1
Ir2 0.639 0.278 0.835 1
Cl1 0.098 0.196 0.285 1
Cl2 0.860 0.728 0.498 1

---

<C>
# BeIrCl, optimized geometry, DFT GGA-PBE
# Crystal system ... hexagonal
# Spin magnetization ... 0.00 Bohr magnetons per cell
data_BeIrCl
_chemical_formula_sum 'Be2 Ir2 Cl2'
_cell_length_a 3.2824
_cell_length_b 3.2824
_cell_length_c 9.6484
_cell_angle_alpha 90.00
_cell_angle_beta 90.00
_cell_angle_gamma 120.00
_space_group_name_H-M_alt 'P 63/m m c'
_space_group_IT_number 194
_space_group_name_Hall '-P 6c 2c'
loop_
_atom_site_label
_atom_site_fract_x
_atom_site_fract_y
_atom_site_fract_z
_atom_site_occupancy
Be1 0.3333 0.6667 0.2500 1
Ir1 0.0000 0.0000 0.0000 1
Cl1 0.0000 0.0000 0.2500 1

---

<D>
# BeIrCl, optimized geometry, DFT GGA-PBE
# Crystal system ... triclinic
# Spin magnetization ... 0.00 Bohr magnetons per cell
data_BeIrCl
_chemical_formula_sum 'Be2 Ir2 Cl2'
_cell_length_a 2.856
_cell_length_b 4.391
_cell_length_c 10.199
_cell_angle_alpha 78.91
_cell_angle_beta 88.88
_cell_angle_gamma 89.46
_space_group_name_H-M_alt 'P -1'
_space_group_IT_number 2
loop_
_space_group_symop_operation_xyz
'x,y,z'
'-x,-y,-z'
loop_
_atom_site_label
_atom_site_fract_x
_atom_site_fract_y
_atom_site_fract_z
_atom_site_occupancy
Be1 0.239 0.081 0.313 1
Ir1 0.248 0.249 0.514 1
Cl1 0.254 0.832 0.825 1

---

Which one sits at the top of the stability order? <D> does.

---

<A>
# BeIrCl, optimized geometry, DFT GGA-PBE
# Crystal system ... orthorhombic
# Spin magnetization ... 0.00 Bohr magnetons per cell
data_BeIrCl
_chemical_formula_sum 'Be4 Ir4 Cl4'
_cell_length_a 2.843
_cell_length_b 4.942
_cell_length_c 14.474
_cell_angle_alpha 90.00
_cell_angle_beta 90.00
_cell_angle_gamma 90.00
_space_group_name_H-M_alt 'F m m 2'
_space_group_IT_number 42
_space_group_name_Hall 'F 2 -2'
loop_
_atom_site_label
_atom_site_fract_x
_atom_site_fract_y
_atom_site_fract_z
_atom_site_occupancy
Be1 0.000 0.000 0.000 1
Ir1 0.000 0.000 0.373 1
Cl1 0.000 0.000 0.600 1

---

<B>
# BeIrCl, optimized geometry, DFT GGA-PBE
# Crystal system ... tetragonal
# Spin magnetization ... 0.00 Bohr magnetons per cell
data_BeIrCl
_chemical_formula_sum 'Be2 Ir2 Cl2'
_cell_length_a 2.870
_cell_length_b 2.870
_cell_length_c 11.400
_cell_angle_alpha 90.00
_cell_angle_beta 90.00
_cell_angle_gamma 90.00
_space_group_name_H-M_alt 'I 4 m m'
_space_group_IT_number 107
_space_group_name_Hall 'I 4 -2'
loop_
_atom_site_label
_atom_site_fract_x
_atom_site_fract_y
_atom_site_fract_z
_atom_site_occupancy
Be1 0.000 0.000 0.000 1
Ir1 0.000 0.000 0.403 1
Cl1 0.000 0.000 0.733 1

---

Which one sits at the top of the stability order? <A> does.